HoMgSn2Os2 | PBE-GGA | optimized geometry

Properties
- symmetry = P4mm
- uncorrected energy (eV/f.u.) = -37.4

a b c (Å): 4.4642 4.4642 6.5200
angles (deg): 90.00 90.00 90.00
Sites, in units of the cell vectors:
Ho1 0.0000 0.0000 0.0000
Mg1 0.5000 0.5000 0.5592
Sn1 0.0000 0.0000 0.5190
Sn2 0.5000 0.5000 0.0409
Os1 0.0000 0.5000 0.2834
Os2 0.5000 0.0000 0.2834